Record 1
Material: NaBTeI2
Method: DFT, PBE
State: optimized geometry

Results
Offset from the most stable computed form in eV/atom: 0.0000
Formation energy (no corrections) in eV/f.u.: 1.36
Calculated total energy in eV/atom: -2.58

Cell lengths 5.9511, 5.9511, 4.4538 Å; angles 90.00, 90.00, 90.00 degrees
With the nearest neighbours (Å) after each atom.
Fractional positions:
I1 0.0000 0.5000 0.0000  2 B 2.98
I2 0.5000 0.0000 0.0000  2 B 2.98
Na1 0.5000 0.5000 0.5000  8 I 3.72
B1 0.0000 0.0000 0.0000  2 Te 2.23
Te1 0.0000 0.0000 0.5000  2 B 2.23

---

Record 2
Material: NbBI
Method: DFT, PBE
State: optimized geometry

Results
Formation energy (no corrections) in eV/f.u.: 0.31
Calculated total energy in eV/atom: -6.00

Cell lengths 3.7428, 3.7428, 11.2610 Å; angles 100.34, 100.34, 64.49 degrees
With the nearest neighbours (Å) after each atom.
Fractional positions:
I1 0.9110 0.9110 0.6942  3 Nb 3.04-3.06, 1 B 3.12
I2 0.0890 0.0890 0.3058  3 Nb 3.04-3.06, 1 B 3.12
Nb1 0.6363 0.6363 0.8853  4 B 2.17-2.25
Nb2 0.3637 0.3637 0.1147  4 B 2.17-2.25
B1 0.2973 0.2973 0.9180  4 Nb 2.17-2.25
B2 0.7027 0.7027 0.0820  4 Nb 2.17-2.25

---

Record 3
Material: NbBIO2
Method: DFT, PBE
State: optimized geometry

Results
Offset from the most stable computed form in eV/atom: 1.0570
Formation energy (no corrections) in eV/f.u.: 3.32
Calculated total energy in eV/atom: -4.98

Cell lengths 3.8685, 3.8685, 4.5123 Å; angles 90.00, 90.00, 90.00 degrees
With the nearest neighbours (Å) after each atom.
Fractional positions:
I1 0.0000 0.0000 0.5000  2 B 2.26
Nb1 0.5000 0.5000 0.5000  4 I 2.74, 8 O 2.97
B1 0.0000 0.0000 0.0000  4 O 1.93
O1 0.0000 0.5000 0.0000  2 B 1.93
O2 0.5000 0.0000 0.0000  2 B 1.93

---

Record 4
Material: NbBIO2
Method: DFT, PBE
State: optimized geometry

Results
Offset from the most stable computed form in eV/atom: 0.0000
Formation energy (no corrections) in eV/f.u.: -1.96
Calculated total energy in eV/atom: -6.04

Cell lengths 3.9374, 3.9374, 6.1220 Å; angles 90.00, 90.00, 90.00 degrees
With the nearest neighbours (Å) after each atom.
Fractional positions:
I1 0.0000 0.0000 0.5000  4 B 2.78, 2 Nb 3.06
Nb1 0.0000 0.0000 0.0000  4 O 1.97
B1 0.5000 0.5000 0.5000  4 I 2.78
O1 0.0000 0.5000 0.0000  2 Nb 1.97
O2 0.5000 0.0000 0.0000  2 Nb 1.97

---

Record 5
Material: NbBPI2
Method: DFT, PBE
State: optimized geometry

Results
Formation energy (no corrections) in eV/f.u.: 5.58
Calculated total energy in eV/atom: -3.93

Cell lengths 5.3866, 3.7667, 5.3866 Å; angles 90.00, 90.00, 90.00 degrees
With the nearest neighbours (Å) after each atom.
Fractional positions:
I1 0.0000 0.0000 0.5000  2 B 2.69
I2 0.5000 0.0000 0.0000  2 B 2.69
P1 0.0000 0.5000 0.0000  2 B 1.88
Nb1 0.5000 0.5000 0.5000  8 I 3.29
B1 0.0000 0.0000 0.0000  2 P 1.88

---

Record 6
Material: NbBSe2I
Method: DFT, PBE
State: optimized geometry

Results
Formation energy (no corrections) in eV/f.u.: 4.32
Calculated total energy in eV/atom: -4.19

Cell lengths 4.5396, 4.7941, 4.5396 Å; angles 90.00, 90.00, 90.00 degrees
With the nearest neighbours (Å) after each atom.
Fractional positions:
I1 0.0000 0.5000 0.0000  2 B 2.40
Nb1 0.5000 0.5000 0.5000  4 I 3.21, 8 Se 3.30
B1 0.0000 0.0000 0.0000  4 Se 2.27, 2 I 2.40
Se1 0.0000 0.0000 0.5000  2 B 2.27
Se2 0.5000 0.0000 0.0000  2 B 2.27

---

Question: Among the records above, which one has the lowest formation energy (no corrections)?
Answer: number 4

---

Question: The lowest calculated total energy belongs to which entry?
Answer: number 4

---

Please write out number 4 again, unchanged.
Material: NbBIO2
Method: DFT, PBE
State: optimized geometry

Results
Offset from the most stable computed form in eV/atom: 0.0000
Formation energy (no corrections) in eV/f.u.: -1.96
Calculated total energy in eV/atom: -6.04

Cell lengths 3.9374, 3.9374, 6.1220 Å; angles 90.00, 90.00, 90.00 degrees
With the nearest neighbours (Å) after each atom.
Fractional positions:
I1 0.0000 0.0000 0.5000  4 B 2.78, 2 Nb 3.06
Nb1 0.0000 0.0000 0.0000  4 O 1.97
B1 0.5000 0.5000 0.5000  4 I 2.78
O1 0.0000 0.5000 0.0000  2 Nb 1.97
O2 0.5000 0.0000 0.0000  2 Nb 1.97

---

Question: Look up the formation energy (no corrections) of the third one.
Answer: 3.32 eV/f.u.